First-principles (PBE) data for an optimized crystal structure of YMnCl4, as listed in Alexandria via LeMat-Bulk.

abc: 5.8589 5.8589 5.8589
angles: 60.00 60.00 60.00
Last column: magnetic moment on the atom in μB.
Element x y z (fractional)
Cl (0.3749, 0.3749, 0.8753)  0.21
Cl (0.3749, 0.3749, 0.3749)  0.21
Cl (0.3749, 0.8753, 0.3749)  0.21
Cl (0.8753, 0.3749, 0.3749)  0.21
Y (0.0000, 0.0000, 0.0000)  -0.02
Mn (0.7500, 0.7500, 0.7500)  4.51

Properties
symmetry: F-43m
formation energy from raw total energies: 37.5 meV/atom